## TbLu2In (GGA-PBE)

Data for TbLu2In after structural relaxation.

Results
* DFT formation energy: 0.092 eV per atom
* total energy: -4.010 eV per atom
* space group: R-3m, No. 166

Cell: 3.4213 3.4213 35.3453 Å, 90.00 90.00 120.00°
Closest atoms and distances in Å follow each position.
Positions (direct):
Tb: 0.0000 0.0000 0.0000  2 Lu 3.37, 6 Tb 3.42
Tb: 0.3333 0.6667 0.6667  2 Lu 3.37, 6 Tb 3.42
Tb: 0.6667 0.3333 0.3333  2 Lu 3.37, 6 Tb 3.42
Lu: 0.0000 0.0000 0.0954  3 In 3.20, 1 Tb 3.37, 6 Lu 3.42
Lu: 0.0000 0.0000 0.9046  3 In 3.20, 1 Tb 3.37, 6 Lu 3.42
Lu: 0.3333 0.6667 0.5713  3 In 3.20, 1 Tb 3.37, 6 Lu 3.42
Lu: 0.3333 0.6667 0.7621  3 In 3.20, 1 Tb 3.37, 6 Lu 3.42
Lu: 0.6667 0.3333 0.2379  3 In 3.20, 1 Tb 3.37, 6 Lu 3.42
Lu: 0.6667 0.3333 0.4287  3 In 3.20, 1 Tb 3.37, 6 Lu 3.42
In: 0.0000 0.0000 0.5000  6 Lu 3.20, 6 In 3.42
In: 0.3333 0.6667 0.1667  6 Lu 3.20, 6 In 3.42
In: 0.6667 0.3333 0.8333  6 Lu 3.20, 6 In 3.42